# 1
HoEr3Ni after structural relaxation. Source: Alexandria, functional PBE.

## Properties
Final energy ... -4.857 eV per atom
Crystal system ... cubic
Magnetic moment ... 0.0010 μB/atom

Cell: 5.254 5.254 5.254 Å, 90.00 90.00 90.00°
Space group Pm-3m (No. 221)
Symmetry-distinct sites (fractional):
Ho1 0.000 0.000 0.000 [1 per cell]
Er1 0.000 0.500 0.500 [3 per cell]
Ni1 0.500 0.500 0.500 [1 per cell]

=====

# 2
CsAg6I8 after structural relaxation. Source: Alexandria, functional PBE.

## Properties
Crystal system ... trigonal
ΔE_f (raw) ... -0.382 eV per atom
Magnetic moment ... 0.0000 μB/atom

Cell: 12.2960 12.2960 13.0107 Å, 90.00 90.00 120.00°
Space group R-3 (No. 148, hexagonal axes)
Symmetry-distinct sites (fractional):
Cs1 0.0000 0.0000 0.0000 [3 per cell]
Ag1 0.0590 0.8125 0.6203 [18 per cell]
I1 0.0000 0.0000 0.3239 [6 per cell]
I2 0.0211 0.7160 0.1178 [18 per cell]

=====

# 3
PmCoHg after structural relaxation. Source: Alexandria, functional PBE.

## Properties
Final energy ... -4.166 eV per atom
Crystal system ... orthorhombic
Magnetic moment ... 0.0267 μB/atom

Cell: 4.003 6.092 10.539 Å, 90.00 90.00 90.00°
Space group Immm (No. 71)
Symmetry-distinct sites (fractional):
Pm1 0.000 0.000 0.207 [4 per cell]
Co1 0.000 0.500 0.109 [4 per cell]
Hg1 0.000 0.248 0.500 [4 per cell]

=====

# 4
LaCdCu after structural relaxation. Source: Alexandria, functional PBE.

## Properties
Final energy ... -3.432 eV per atom
Crystal system ... tetragonal
Magnetic moment ... 0.0000 μB/atom

Cell: 3.460 3.460 11.661 Å, 90.00 90.00 90.00°
Space group I4mm (No. 107)
Symmetry-distinct sites (fractional):
La1 0.000 0.000 0.000 [2 per cell]
Cd1 0.000 0.000 0.709 [2 per cell]
Cu1 0.000 0.000 0.328 [2 per cell]

=====

# 5
InCoRu2 after structural relaxation. Source: Alexandria, functional PBE.

## Properties
Final energy ... -6.469 eV per atom
Crystal system ... tetragonal
Magnetic moment ... 0.5044 μB/atom

Cell: 7.155 7.155 5.066 Å, 90.00 90.00 90.00°
Space group I-42d (No. 122)
Symmetry-distinct sites (fractional):
In1 0.000 0.000 0.000 [4 per cell]
Co1 0.000 0.000 0.500 [4 per cell]
Ru1 0.194 0.250 0.625 [8 per cell]

=====

# 6
Mg2CrTe after structural relaxation. Source: Alexandria, functional PBE.

## Properties
Crystal system ... trigonal
ΔE_f (raw) ... 0.288 eV per atom
Magnetic moment ... 1.0713 μB/atom

Cell: 3.5951 3.5951 26.2397 Å, 90.00 90.00 120.00°
Space group R-3m (No. 166, hexagonal axes)
Symmetry-distinct sites (fractional):
Mg1 0.0000 0.0000 0.2483 [6 per cell]
Cr1 0.0000 0.0000 0.0000 [3 per cell]
Te1 0.0000 0.0000 0.5000 [3 per cell]

=====

# 7
CsSnHg3 after structural relaxation. Source: Alexandria, functional PBE.

## Properties
Final energy ... -1.244 eV per atom
Crystal system ... cubic
Magnetic moment ... 0.0000 μB/atom

Cell: 5.918 5.918 5.918 Å, 90.00 90.00 90.00°
Space group Pm-3m (No. 221)
Symmetry-distinct sites (fractional):
Cs1 0.000 0.000 0.000 [1 per cell]
Sn1 0.500 0.500 0.500 [1 per cell]
Hg1 0.000 0.500 0.500 [3 per cell]

=====

# 8
HoTh2Hg5 after structural relaxation. Source: Alexandria, functional PBE.

## Properties
Final energy ... -2.891 eV per atom
Crystal system ... tetragonal
Magnetic moment ... 0.0000 μB/atom

Cell: 5.146 5.146 15.549 Å, 90.00 90.00 90.00°
Space group I4/mmm (No. 139)
Symmetry-distinct sites (fractional):
Ho1 0.000 0.000 0.000 [2 per cell]
Th1 0.000 0.000 0.261 [4 per cell]
Hg1 0.000 0.000 0.500 [2 per cell]
Hg2 0.000 0.500 0.115 [8 per cell]

=====

Please write out number 3 again, unchanged.
PmCoHg after structural relaxation. Source: Alexandria, functional PBE.

## Properties
Final energy ... -4.166 eV per atom
Crystal system ... orthorhombic
Magnetic moment ... 0.0267 μB/atom

Cell: 4.003 6.092 10.539 Å, 90.00 90.00 90.00°
Space group Immm (No. 71)
Symmetry-distinct sites (fractional):
Pm1 0.000 0.000 0.207 [4 per cell]
Co1 0.000 0.500 0.109 [4 per cell]
Hg1 0.000 0.248 0.500 [4 per cell]

=====

> Look up the magnetic moment of the first one.

0.0010 μB/atom

=====

> What is the magnetic moment in the fifth record?

0.5044 μB/atom